No. 1
# CeHf2F11

CeHf2F11 at its PBEsol-relaxed geometry (meta-GGA SCAN, Alexandria via LeMat-Bulk).

Values from the calculation:
**SG**: Ibam, No. 72
**Theoretical density**: 5.6 g cm⁻³
**E_form (uncorrected)**: -4.118 eV per atom
**Total magnetic moment**: 1.0 μB per formula unit

a = 7.695 Å, b = 8.348 Å, c = 8.348 Å
α = 73.44°, β = 62.56°, γ = 62.56°
Site moments in Bohr magnetons follow the coordinates.
Atoms (fractional coordinates):
F1 0.134 0.052 0.205  0.00
F2 0.609 0.205 0.052  0.00
F3 0.761 0.450 0.822  0.00
F4 0.131 0.220 0.780  0.00
F5 0.000 0.000 0.000  0.00
F6 0.034 0.178 0.550  0.00
Ce1 0.750 0.750 0.750  0.94
F7 0.109 0.552 0.705  0.00
F8 0.239 0.550 0.178  0.00
F9 0.391 0.795 0.948  0.00
F10 0.369 0.720 0.280  0.00
F11 0.869 0.780 0.220  0.00
F12 0.634 0.705 0.552  0.00
F13 0.631 0.280 0.720  0.00
F14 0.466 0.950 0.322  0.00
Hf1 0.632 0.681 0.319  0.00
Hf2 0.368 0.319 0.681  0.00
F15 0.261 0.322 0.950  0.00
F16 0.966 0.822 0.450  0.00
F17 0.500 0.500 0.500  0.00
Hf3 0.132 0.819 0.181  0.00
F18 0.866 0.948 0.795  0.00
F19 0.739 0.678 0.050  0.00
F20 0.534 0.050 0.678  0.00
Hf4 0.868 0.181 0.819  0.00
Ce2 0.250 0.250 0.250  0.94
F21 0.891 0.448 0.295  0.00
F22 0.366 0.295 0.448  0.00

---

No. 2
# CsLaP4O12

CsLaP4O12 at its PBEsol-relaxed geometry (meta-GGA SCAN, Alexandria via LeMat-Bulk).

Values from the calculation:
**SG**: P2_1, No. 4
**Theoretical density**: 3.3 g cm⁻³
**DOS(E_F)**: 0.000 states/eV/f.u.
**E_form (uncorrected)**: -2.741 eV per atom
**Total magnetic moment**: 0.0 μB per formula unit

a = 7.235 Å, b = 8.864 Å, c = 9.308 Å
α = 90.00°, β = 90.00°, γ = 99.22°
Atoms (fractional coordinates):
O1 0.541 0.490 0.955
Cs1 0.675 0.178 0.068
O2 0.848 0.595 0.150
O3 0.493 0.184 0.431
P1 0.061 0.374 0.794
O4 0.152 0.405 0.650
P2 0.306 0.773 0.974
P3 0.084 0.929 0.176
O5 0.341 0.366 0.164
P4 0.645 0.544 0.528
O6 0.659 0.634 0.664
O7 0.273 0.611 0.058
Cs2 0.325 0.822 0.568
O8 0.788 0.641 0.417
O9 0.925 0.910 0.071
O10 0.845 0.230 0.363
O11 0.075 0.530 0.349
O12 0.857 0.922 0.748
La1 0.798 0.698 0.902
O13 0.925 0.470 0.849
O14 0.727 0.389 0.558
La2 0.202 0.302 0.402
O15 0.727 0.114 0.603
P5 0.355 0.456 0.028
O16 0.273 0.886 0.103
O17 0.954 0.198 0.801
O18 0.507 0.816 0.931
O19 0.155 0.770 0.863
O20 0.075 0.090 0.571
O21 0.046 0.802 0.301
O22 0.212 0.359 0.917
P6 0.916 0.071 0.676
P7 0.694 0.227 0.474
P8 0.939 0.626 0.294
O23 0.459 0.510 0.455
O24 0.143 0.078 0.248

---

No. 3
# Li2CuPO4

Li2CuPO4 at its PBEsol-relaxed geometry (meta-GGA SCAN, Alexandria via LeMat-Bulk).

Values from the calculation:
**SG**: P3_121, No. 152
**Theoretical density**: 3.4 g cm⁻³
**DOS(E_F)**: 0.000 states/eV/f.u.
**E_form (uncorrected)**: -2.141 eV per atom
**Total magnetic moment**: 0.0 μB per formula unit
**Energy above the lowest structure with this stoichiometry**: 0.031 eV/atom

a = 4.976 Å, b = 4.976 Å, c = 11.861 Å
α = 90.00°, β = 90.00°, γ = 120.00°
Atoms (fractional coordinates):
O1 0.906 0.716 0.027
Li1 0.907 0.343 0.082
Cu1 0.000 0.236 0.833
Li2 0.435 0.093 0.748
O2 0.625 0.546 0.769
Li3 0.565 0.657 0.918
P1 0.241 0.000 0.000
Li4 0.093 0.435 0.585
O3 0.375 0.921 0.897
O4 0.454 0.079 0.103
O5 0.810 0.094 0.693
P2 0.000 0.241 0.333
P3 0.759 0.759 0.667
O6 0.284 0.190 0.360
Cu2 0.236 0.000 0.500
O7 0.190 0.284 0.973
O8 0.546 0.625 0.564
O9 0.921 0.375 0.436
O10 0.094 0.810 0.640
Li5 0.343 0.907 0.252
Li6 0.657 0.565 0.415
Cu3 0.764 0.764 0.167
O11 0.716 0.906 0.307
O12 0.079 0.454 0.231

---

No. 4
# MgTlRe2

MgTlRe2 at its PBEsol-relaxed geometry (meta-GGA SCAN, Alexandria via LeMat-Bulk).

Values from the calculation:
**SG**: Cmmm, No. 65
**Theoretical density**: 14.7 g cm⁻³
**DOS(E_F)**: 3.684 states/eV/f.u.
**Total magnetic moment**: 0.0 μB per formula unit
**Energy above the lowest structure with this stoichiometry**: 0.106 eV/atom

a = 2.816 Å, b = 5.218 Å, c = 5.218 Å
α = 117.83°, β = 90.00°, γ = 90.00°
Atoms (fractional coordinates):
Tl1 0.500 0.000 0.000
Re1 0.000 0.500 0.000
Mg1 0.500 0.500 0.500
Re2 0.000 0.000 0.500

---

No. 5
# ScNi2Mo

ScNi2Mo at its PBEsol-relaxed geometry (meta-GGA SCAN, Alexandria via LeMat-Bulk).

Values from the calculation:
**SG**: Imm2, No. 44
**Theoretical density**: 7.8 g cm⁻³
**DOS(E_F)**: 4.506 states/eV/f.u.
**Total magnetic moment**: 0.0 μB per formula unit
**Energy above the lowest structure with this stoichiometry**: 0.000 eV/atom

a = 2.725 Å, b = 4.374 Å, c = 5.307 Å
α = 114.34°, β = 104.87°, γ = 90.00°
Atoms (fractional coordinates):
Mo1 0.274 0.774 0.548
Sc1 0.491 0.491 0.983
Ni1 0.725 0.225 0.451
Ni2 0.009 0.009 0.019

---

No. 6
# HfZr2Sb2

HfZr2Sb2 at its PBEsol-relaxed geometry (meta-GGA SCAN, Alexandria via LeMat-Bulk).

Values from the calculation:
**SG**: P4/mbm, No. 127
**Theoretical density**: 9.2 g cm⁻³
**DOS(E_F)**: 2.025 states/eV/f.u.
**E_form (uncorrected)**: -0.675 eV per atom
**Total magnetic moment**: 0.0 μB per formula unit

a = 3.751 Å, b = 7.623 Å, c = 7.623 Å
α = 90.00°, β = 90.00°, γ = 90.00°
Atoms (fractional coordinates):
Zr1 0.500 0.154 0.654
Hf1 0.000 0.000 0.000
Zr2 0.500 0.654 0.846
Hf2 0.000 0.500 0.500
Sb1 0.000 0.145 0.355
Sb2 0.000 0.645 0.145
Zr3 0.500 0.846 0.346
Sb3 0.000 0.355 0.855
Zr4 0.500 0.346 0.154
Sb4 0.000 0.855 0.645

---

No. 7
# KBeCr2

KBeCr2 at its PBEsol-relaxed geometry (meta-GGA SCAN, Alexandria via LeMat-Bulk).

Values from the calculation:
**SG**: P4/mmm, No. 123
**Theoretical density**: 3.5 g cm⁻³
**DOS(E_F)**: 2.160 states/eV/f.u.
**Total magnetic moment**: 8.8 μB per formula unit

a = 3.135 Å, b = 4.819 Å, c = 4.819 Å
α = 90.00°, β = 90.00°, γ = 90.00°
Site moments in Bohr magnetons follow the coordinates.
Atoms (fractional coordinates):
Be1 0.500 0.000 0.000  -0.15
K1 0.500 0.500 0.500  0.12
Cr1 0.000 0.500 0.000  4.00
Cr2 0.000 0.000 0.500  4.00

---

No. 8
# MnReTc2

MnReTc2 at its PBEsol-relaxed geometry (meta-GGA SCAN, Alexandria via LeMat-Bulk).

Values from the calculation:
**SG**: Imm2, No. 44
**Theoretical density**: 13.3 g cm⁻³
**DOS(E_F)**: 2.880 states/eV/f.u.
**Total magnetic moment**: 2.9 μB per formula unit

a = 3.083 Å, b = 4.209 Å, c = 4.951 Å
α = 115.15°, β = 108.14°, γ = 90.00°
Site moments in Bohr magnetons follow the coordinates.
Atoms (fractional coordinates):
Tc1 0.998 0.998 0.996  -0.04
Mn1 0.502 0.502 0.004  3.10
Re1 0.241 0.741 0.482  -0.12
Tc2 0.759 0.259 0.518  -0.12

---

No. 9
# La2TlP

La2TlP at its PBEsol-relaxed geometry (meta-GGA SCAN, Alexandria via LeMat-Bulk).

Values from the calculation:
**SG**: Pmmm, No. 47
**Theoretical density**: 7.1 g cm⁻³
**DOS(E_F)**: 3.637 states/eV/f.u.
**Total magnetic moment**: 0.0 μB per formula unit
**Energy above the lowest structure with this stoichiometry**: 0.181 eV/atom

a = 4.393 Å, b = 4.414 Å, c = 6.201 Å
α = 90.00°, β = 90.00°, γ = 90.00°
Atoms (fractional coordinates):
Tl1 0.000 0.000 0.500
La1 0.500 0.500 0.500
La2 0.000 0.000 0.000
P1 0.500 0.500 0.000

---

No. 10
# ScGa3H

ScGa3H at its PBEsol-relaxed geometry (meta-GGA SCAN, Alexandria via LeMat-Bulk).

Values from the calculation:
**SG**: Pm-3m, No. 221
**Theoretical density**: 2.9 g cm⁻³
**DOS(E_F)**: 4.445 states/eV/f.u.
**Total magnetic moment**: 2.7 μB per formula unit

a = 5.281 Å, b = 5.281 Å, c = 5.281 Å
α = 90.00°, β = 90.00°, γ = 90.00°
Site moments in Bohr magnetons follow the coordinates.
Atoms (fractional coordinates):
H1 0.500 0.500 0.500  0.32
Sc1 0.000 0.000 0.000  0.72
Ga1 0.000 0.000 0.500  0.16
Ga2 0.500 0.000 0.000  0.16
Ga3 0.000 0.500 0.000  0.16

---

No. 11
# ReSiAu2

ReSiAu2 at its PBEsol-relaxed geometry (meta-GGA SCAN, Alexandria via LeMat-Bulk).

Values from the calculation:
**SG**: F-43m, No. 216
**Theoretical density**: 16.5 g cm⁻³
**DOS(E_F)**: 1.768 states/eV/f.u.
**E_form (uncorrected)**: 0.522 eV per atom
**Total magnetic moment**: 0.0 μB per formula unit

a = 4.424 Å, b = 4.424 Å, c = 4.424 Å
α = 60.00°, β = 60.00°, γ = 60.00°
Atoms (fractional coordinates):
Au1 0.000 0.000 0.000
Au2 0.250 0.250 0.250
Re1 0.500 0.500 0.500
Si1 0.750 0.750 0.750

---

In eV per atom, the calculated total energy values for the records above are, in order, -19.036; -13.701; -9.054; -53.988; -20.338; -40.394; -11.168; -39.886; -43.217; -12.238; -54.335.
In A^3/atom, the volume values for the records above are, in order, 15.0; 16.4; 10.6; 16.9; 13.8; 21.8; 18.2; 13.6; 30.1; 29.5; 15.3.